A plane-wave DFT calculation with PBE was carried out for an optimized crystal structure of SmY2Th3S6.

Unit cell a=6.8105 b=6.8105 c=7.0750 alpha=99.19 beta=99.19 gamma=119.59
Sites, in units of the cell vectors:
Sm  0.0000  0.0000  0.0000
Y  0.3332  0.6668  0.0000
Y  0.6668  0.3332  0.0000
Th  0.1643  0.8357  0.5000
Th  0.5000  0.5000  0.5000
Th  0.8357  0.1643  0.5000
S  0.0795  0.4180  0.2387
S  0.2599  0.2599  0.7643
S  0.4180  0.0795  0.2387
S  0.5820  0.9205  0.7613
S  0.7401  0.7401  0.2357
S  0.9205  0.5820  0.7613

Calculated values
ΔE_f (raw), eV/atom: -1.91
Total magnetization, μB per atom: 0.00

=====

A plane-wave DFT calculation with PBE was carried out for an optimized crystal structure of Sm2YTh3S6.

Unit cell a=6.8612 b=6.8612 c=7.0531 alpha=99.29 beta=99.29 gamma=119.55
Sites, in units of the cell vectors:
Sm  0.1663  0.8337  0.0000
Sm  0.8337  0.1663  0.0000
Y  0.5000  0.5000  0.0000
Th  0.0000  0.0000  0.5000
Th  0.3308  0.6692  0.5000
Th  0.6692  0.3308  0.5000
S  0.0919  0.4203  0.7602
S  0.2531  0.2531  0.2434
S  0.4203  0.0919  0.7602
S  0.5797  0.9081  0.2398
S  0.7469  0.7469  0.7566
S  0.9081  0.5797  0.2398

Calculated values
ΔE_f (raw), eV/atom: -1.91
Total magnetization, μB per atom: 0.00

=====

A plane-wave DFT calculation with PBE was carried out for an optimized crystal structure of Sm3YTh4S8.

Unit cell a=8.1247 b=8.1247 c=8.1247 alpha=58.40 beta=58.40 gamma=58.40
Sites, in units of the cell vectors:
Sm  0.0000  0.5000  0.5000
Sm  0.5000  0.0000  0.5000
Sm  0.5000  0.5000  0.0000
Y  0.0000  0.0000  0.0000
Th  0.0000  0.0000  0.5000
Th  0.0000  0.5000  0.0000
Th  0.5000  0.0000  0.0000
Th  0.5000  0.5000  0.5000
S  0.2451  0.2451  0.7508
S  0.2451  0.7508  0.2451
S  0.2492  0.7549  0.7549
S  0.2521  0.2521  0.2521
S  0.7479  0.7479  0.7479
S  0.7508  0.2451  0.2451
S  0.7549  0.2492  0.7549
S  0.7549  0.7549  0.2492

Calculated values
ΔE_f (raw), eV/atom: -1.92
Total magnetization, μB per atom: 0.00

=====

A plane-wave DFT calculation with PBE was carried out for an optimized crystal structure of Sm4YTh3S8.

Unit cell a=8.0493 b=8.0493 c=8.0493 alpha=59.53 beta=59.53 gamma=59.53
Sites, in units of the cell vectors:
Sm  0.0000  0.0000  0.0000
Sm  0.0000  0.5000  0.5000
Sm  0.5000  0.0000  0.5000
Sm  0.5000  0.5000  0.0000
Y  0.5000  0.5000  0.5000
Th  0.0000  0.0000  0.5000
Th  0.0000  0.5000  0.0000
Th  0.5000  0.0000  0.0000
S  0.2519  0.2519  0.2519
S  0.2528  0.2528  0.7442
S  0.2528  0.7442  0.2528
S  0.2558  0.7472  0.7472
S  0.7442  0.2528  0.2528
S  0.7472  0.2558  0.7472
S  0.7472  0.7472  0.2558
S  0.7481  0.7481  0.7481

Calculated values
ΔE_f (raw), eV/atom: -1.94
Total magnetization, μB per atom: 0.00

=====

A plane-wave DFT calculation with PBE was carried out for an optimized crystal structure of Sm2TiS4.

Unit cell a=6.9200 b=6.9200 c=7.1458 alpha=118.49 beta=118.49 gamma=32.62
Sites, in units of the cell vectors:
Sm  0.2182  0.2182  0.2099
Sm  0.7818  0.7818  0.7901
Ti  0.5000  0.5000  0.5000
S  0.1280  0.1280  0.5007
S  0.3939  0.3939  0.0999
S  0.6061  0.6061  0.9001
S  0.8720  0.8720  0.4993

Calculated values
ΔE_f (raw), eV/atom: -1.72
Total magnetization, μB per atom: 0.04

=====

A plane-wave DFT calculation with PBE was carried out for an optimized crystal structure of SmTiS.

Unit cell a=8.2816 b=8.2816 c=8.2816 alpha=154.87 beta=148.10 gamma=41.03
Sites, in units of the cell vectors:
Sm  0.1674  0.1674  0.0000
Sm  0.8326  0.8326  0.0000
Ti  0.2486  0.5000  0.7486
Ti  0.7514  0.5000  0.2514
S  0.3488  0.3488  0.0000
S  0.6512  0.6512  0.0000

Calculated values
ΔE_f (raw), eV/atom: -0.88
Total magnetization, μB per atom: 0.07

=====

Density of states at the Fermi level values (in states/eV/atom) by entry order: 0.589; 0.595; 0.332; 0.406; 0.406; 0.819.